1.
First-principles (PBEsol) data for CaBeO2 after structural relaxation, as listed in Alexandria.

Values from the calculation:
The volume comes out at 14.03 Å³ per atom. The calculation puts the mass density at 2399 kg/m³. As for the magnetization: 0.0 Bohr magnetons per cell. The uncorrected formation energy is -2613 meV per atom.

The structure in CIF format:
```
data_CaBeO2
_chemical_formula_sum 'Ca3 Be3 O6'
_cell_length_a 3.5093
_cell_length_b 3.5093
_cell_length_c 15.7855
_cell_angle_alpha 90.00
_cell_angle_beta 90.00
_cell_angle_gamma 120.00
_symmetry_space_group_name_H-M 'R -3 m'
_symmetry_Int_Tables_number 166
_symmetry_space_group_name_Hall '-R 3 2"'
loop_
_atom_site_label
_atom_site_type_symbol
_atom_site_fract_x
_atom_site_fract_y
_atom_site_fract_z
Ca1 Ca 0.0000 0.0000 0.0000
Be1 Be 0.0000 0.0000 0.5000
O1 O 0.0000 0.0000 0.4088
```

=====

2.
First-principles (PBEsol) data for CaBeO2 after structural relaxation, as listed in Alexandria.

Values from the calculation:
The volume comes out at 11.59 Å³ per atom. The calculation puts the mass density at 2904 kg/m³. As for the magnetization: 0.7 Bohr magnetons per cell. The uncorrected formation energy is -1254 meV per atom.

The structure in CIF format:
```
data_CaBeO2
_chemical_formula_sum 'Ca3 Be3 O6'
_cell_length_a 3.0177
_cell_length_b 3.0177
_cell_length_c 17.6403
_cell_angle_alpha 90.00
_cell_angle_beta 90.00
_cell_angle_gamma 120.00
_symmetry_space_group_name_H-M 'R -3 m'
_symmetry_Int_Tables_number 166
_symmetry_space_group_name_Hall '-R 3 2"'
loop_
_atom_site_label
_atom_site_type_symbol
_atom_site_fract_x
_atom_site_fract_y
_atom_site_fract_z
Ca1 Ca 0.0000 0.0000 0.0000
Be1 Be 0.0000 0.0000 0.5000
O1 O 0.0000 0.0000 0.1161
```

=====

3.
First-principles (PBEsol) data for Ca2PrBeO5 after structural relaxation, as listed in Alexandria.

Values from the calculation:
The volume comes out at 11.87 Å³ per atom. The calculation puts the mass density at 4818 kg/m³. As for the magnetization: 3.9 Bohr magnetons per cell. The uncorrected formation energy is -2814 meV per atom.

The structure in CIF format:
```
data_Ca2PrBeO5
_chemical_formula_sum 'Ca8 Pr4 Be4 O20'
_cell_length_a 9.231
_cell_length_b 7.220
_cell_length_c 6.414
_cell_angle_alpha 90.00
_cell_angle_beta 90.00
_cell_angle_gamma 90.00
_symmetry_space_group_name_H-M 'P n m a'
_symmetry_Int_Tables_number 62
loop_
_symmetry_equiv_pos_as_xyz
'x,y,z'
'-x,-y,-z'
'-x+1/2,-y,z+1/2'
'x+1/2,y,-z+1/2'
'x+1/2,-y+1/2,-z+1/2'
'-x+1/2,y+1/2,z+1/2'
'-x,y+1/2,-z'
'x,-y+1/2,z'
loop_
_atom_site_label
_atom_site_type_symbol
_atom_site_fract_x
_atom_site_fract_y
_atom_site_fract_z
Ca1 Ca 0.173 0.028 0.083
Pr1 Pr 0.028 0.250 0.599
Be1 Be 0.105 0.750 0.811
O1 O 0.013 0.750 0.028
O2 O 0.069 0.561 0.690
O3 O 0.222 0.250 0.360
O4 O 0.233 0.750 0.327
```

=====

4.
First-principles (PBEsol) data for CaY2BeO5 after structural relaxation, as listed in Alexandria.

Values from the calculation:
The volume comes out at 10.98 Å³ per atom. The calculation puts the mass density at 5156 kg/m³. As for the magnetization: 0.0 Bohr magnetons per cell. The uncorrected formation energy is -3283 meV per atom.

The structure in CIF format:
```
data_CaY2BeO5
_chemical_formula_sum 'Ca4 Y8 Be4 O20'
_cell_length_a 9.139
_cell_length_b 6.259
_cell_length_c 6.912
_cell_angle_alpha 90.00
_cell_angle_beta 90.00
_cell_angle_gamma 90.00
_symmetry_space_group_name_H-M 'P n a 21'
_symmetry_Int_Tables_number 33
loop_
_symmetry_equiv_pos_as_xyz
'x,y,z'
'-x,-y,z+1/2'
'-x+1/2,y+1/2,z+1/2'
'x+1/2,-y+1/2,z'
loop_
_atom_site_label
_atom_site_type_symbol
_atom_site_fract_x
_atom_site_fract_y
_atom_site_fract_z
Ca1 Ca 0.176 0.081 0.000
Y1 Y 0.022 0.597 0.765
Y2 Y 0.173 0.071 0.546
Be1 Be 0.104 0.805 0.266
O1 O 0.009 0.024 0.269
O2 O 0.072 0.692 0.467
O3 O 0.073 0.680 0.071
O4 O 0.218 0.361 0.767
O5 O 0.223 0.335 0.267
```

=====

5.
First-principles (PBEsol) data for CaBe2Os after structural relaxation, as listed in Alexandria.

Values from the calculation:
The volume comes out at 13.85 Å³ per atom. The calculation puts the mass density at 7444 kg/m³. The formation energy from the elements is 0.45 eV per atom. As for the magnetization: 0.0 Bohr magnetons per cell.

The structure in CIF format:
```
data_CaBe2Os
_chemical_formula_sum 'Ca2 Be4 Os2'
_cell_length_a 2.631
_cell_length_b 4.618
_cell_length_c 9.119
_cell_angle_alpha 90.00
_cell_angle_beta 90.00
_cell_angle_gamma 90.00
_symmetry_space_group_name_H-M 'I m m 2'
_symmetry_Int_Tables_number 44
loop_
_symmetry_equiv_pos_as_xyz
'x,y,z'
'-x,-y,z'
'-x,y,z'
'x,-y,z'
'x+1/2,y+1/2,z+1/2'
'-x+1/2,-y+1/2,z+1/2'
'-x+1/2,y+1/2,z+1/2'
'x+1/2,-y+1/2,z+1/2'
loop_
_atom_site_label
_atom_site_type_symbol
_atom_site_fract_x
_atom_site_fract_y
_atom_site_fract_z
Ca1 Ca 0.000 0.000 0.000
Be1 Be 0.000 0.000 0.504
Be2 Be 0.000 0.500 0.211
Os1 Os 0.000 0.500 0.794
```

=====

6.
First-principles (PBEsol) data for Ca2BeOs after structural relaxation, as listed in Alexandria.

Values from the calculation:
The volume comes out at 19.59 Å³ per atom. The calculation puts the mass density at 5920 kg/m³. The formation energy from the elements is 0.67 eV per atom. As for the magnetization: 0.0 Bohr magnetons per cell.

The structure in CIF format:
```
data_Ca2BeOs
_chemical_formula_sum 'Ca4 Be2 Os2'
_cell_length_a 7.371
_cell_length_b 7.430
_cell_length_c 2.862
_cell_angle_alpha 90.00
_cell_angle_beta 90.00
_cell_angle_gamma 90.00
_symmetry_space_group_name_H-M 'C m m m'
_symmetry_Int_Tables_number 65
_symmetry_space_group_name_Hall '-C 2 2'
loop_
_atom_site_label
_atom_site_type_symbol
_atom_site_fract_x
_atom_site_fract_y
_atom_site_fract_z
Ca1 Ca 0.250 0.250 0.000
Be1 Be 0.000 0.000 0.500
Os1 Os 0.000 0.500 0.500
```

=====

What is the magnetization in the second record?
0.7 Bohr magnetons per cell

=====

Look up the mass density of the second one.
2904 kg/m³

=====

Look up the magnetization of the third one.
3.9 Bohr magnetons per cell

=====

Copy entry 5 word for word.
First-principles (PBEsol) data for CaBe2Os after structural relaxation, as listed in Alexandria.

Values from the calculation:
The volume comes out at 13.85 Å³ per atom. The calculation puts the mass density at 7444 kg/m³. The formation energy from the elements is 0.45 eV per atom. As for the magnetization: 0.0 Bohr magnetons per cell.

The structure in CIF format:
```
data_CaBe2Os
_chemical_formula_sum 'Ca2 Be4 Os2'
_cell_length_a 2.631
_cell_length_b 4.618
_cell_length_c 9.119
_cell_angle_alpha 90.00
_cell_angle_beta 90.00
_cell_angle_gamma 90.00
_symmetry_space_group_name_H-M 'I m m 2'
_symmetry_Int_Tables_number 44
loop_
_symmetry_equiv_pos_as_xyz
'x,y,z'
'-x,-y,z'
'-x,y,z'
'x,-y,z'
'x+1/2,y+1/2,z+1/2'
'-x+1/2,-y+1/2,z+1/2'
'-x+1/2,y+1/2,z+1/2'
'x+1/2,-y+1/2,z+1/2'
loop_
_atom_site_label
_atom_site_type_symbol
_atom_site_fract_x
_atom_site_fract_y
_atom_site_fract_z
Ca1 Ca 0.000 0.000 0.000
Be1 Be 0.000 0.000 0.504
Be2 Be 0.000 0.500 0.211
Os1 Os 0.000 0.500 0.794
```